# GGA-PBEsol Ce2Ga5Cu3, optimized geometry
# E_form   -0.43 eV/atom
# Magnetization   0.8 μB/f.u.
data_Ce2Ga5Cu3
_chemical_formula_sum 'Ce2 Ga5 Cu3'
_space_group_name_H-M_alt 'P -4 m 2'
_space_group_IT_number 115
_space_group_name_Hall 'P -4 -2'
_cell_length_a 4.150
_cell_length_b 4.150
_cell_length_c 10.049
_cell_angle_alpha 90.00
_cell_angle_beta 90.00
_cell_angle_gamma 90.00
loop_
_atom_site_label
_atom_site_fract_x
_atom_site_fract_y
_atom_site_fract_z
_atom_site_occupancy
Ce1 0.000 0.500 0.242 1
Ga1 0.000 0.000 0.500 1
Ga2 0.000 0.500 0.637 1
Ga3 0.000 0.500 0.879 1
Cu1 0.000 0.000 0.000 1
Cu2 0.500 0.500 0.000 1
Cu3 0.500 0.500 0.500 1